Density functional theory data (PBEsol) for a relaxed structure of Y2MnP.

abc: 3.9902 3.9902 5.6334
angles: 90.00 90.00 90.00
With the nearest neighbours (Å) after each atom.
Atoms (fractional coordinates):
Mn (0.0000, 0.0000, 0.3875)  6 Y 2.81-2.83
P (0.5000, 0.5000, 0.8638)  6 Y 2.81-2.82
Y (0.0000, 0.0000, 0.8862)  2 Mn 2.81-2.82, 4 P 2.82
Y (0.5000, 0.5000, 0.3625)  2 P 2.81-2.82, 4 Mn 2.83

## Properties
Energy of formation from the pure elements: -0.264 eV per atom
Uncorrected energy: -7.56 eV per atom

***

Density functional theory data (PBEsol) for a relaxed structure of Mn2ZnP.

abc: 3.3464 4.1301 4.3370
angles: 118.43 112.69 90.00
With the nearest neighbours (Å) after each atom.
Atoms (fractional coordinates):
Mn (0.7813, 0.7813, 0.5626)  2 P 2.25
Mn (0.2187, 0.2187, 0.4374)  2 P 2.25
P (0.5000, 0.0000, 0.0000)  4 Mn 2.25
Zn (0.0000, 0.5000, 0.0000)  8 Mn 2.55, 4 P 2.66

## Properties
Energy of formation from the pure elements: -0.077 eV per atom
Uncorrected energy: -6.80 eV per atom

***

Density functional theory data (PBEsol) for a relaxed structure of MnZnP2.

abc: 3.2294 4.1546 4.1546
angles: 104.38 90.00 90.00
With the nearest neighbours (Å) after each atom.
Atoms (fractional coordinates):
Mn (0.5000, 0.5000, 0.5000)  2 Zn 2.55, 8 P 2.63
P (0.0000, 0.5000, 0.0000)  2 P 2.55, 4 Zn 2.63, 4 Mn 2.63
P (0.0000, 0.0000, 0.5000)  2 P 2.55, 4 Mn 2.63, 4 Zn 2.63
Zn (0.5000, 0.0000, 0.0000)  2 Mn 2.55, 8 P 2.63

## Properties
Energy of formation from the pure elements: 0.174 eV per atom
Uncorrected energy: -5.56 eV per atom

***

The highest energy of formation from the pure elements belongs to which entry? MnZnP2